1.
This record from Alexandria describes crystalline Mg2TlF2 at its relaxed geometry. The functional is PBE.

The calculation puts the formation energy without anion corrections at -188.5 kJ/mol of atoms. As for the volume: 83 Å³/f.u. For the size of the total moment, the calculation gives 0.00 μB/f.u. As for the crystal system: tetragonal.

Cell: 7.1115 7.1115 7.1115 Å, 151.24 151.24 41.12°
Sites, in units of the cell vectors:
Mg: 0.1612 0.1612 0.0000
Mg: 0.8388 0.8388 0.0000
Tl: 0.5000 0.5000 0.0000
F: 0.2500 0.7500 0.5000
F: 0.7500 0.2500 0.5000



2.
This record from Alexandria describes crystalline ScMo2Pt at its relaxed geometry. The functional is PBE.

As for the volume: 68 Å³/f.u. The energy comes out at -8.732 eV per atom. For the size of the total moment, the calculation gives 0.00 μB/f.u. As for the crystal system: monoclinic.

Cell: 2.8363 4.1004 5.8772 Å, 90.00 97.86 90.00°
Sites, in units of the cell vectors:
Sc: 0.0000 0.0000 0.0000
Mo: 0.4776 0.5000 0.2790
Mo: 0.8257 0.0000 0.4918
Pt: 0.4268 0.5000 0.7712



3.
This record from Alexandria describes crystalline CsMgPtC2 at its relaxed geometry. The functional is PBE.

As for the volume: 113 Å³/f.u. The energy comes out at -3.478 eV per atom. For the size of the total moment, the calculation gives 1.00 μB/f.u. As for the crystal system: tetragonal.

Cell: 4.1639 4.1639 6.5241 Å, 90.00 90.00 90.00°
Sites, in units of the cell vectors:
Cs: 0.0000 0.0000 0.0000
Mg: 0.5000 0.5000 0.0000
Pt: 0.0000 0.0000 0.5000
C: 0.0000 0.5000 0.5000
C: 0.5000 0.0000 0.5000



4.
This record from Alexandria describes crystalline Dy2ErC at its relaxed geometry. The functional is PBE.

As for the volume: 103 Å³/f.u. The energy comes out at -5.810 eV per atom. For the size of the total moment, the calculation gives 0.34 μB/f.u. As for the crystal system: trigonal.

Cell: 9.7929 9.7929 9.7929 Å, 20.75 20.75 20.75°
Sites, in units of the cell vectors:
Dy: 0.1199 0.1199 0.1199
Dy: 0.8801 0.8801 0.8801
Er: 0.0000 0.0000 0.0000
C: 0.5000 0.5000 0.5000



5.
This record from Alexandria describes crystalline PdPbSN2 at its relaxed geometry. The functional is PBE.

The calculation puts the formation energy without anion corrections at 179.7 kJ/mol of atoms. As for the volume: 100 Å³/f.u. For the size of the total moment, the calculation gives 3.38 μB/f.u. As for the crystal system: tetragonal.

Cell: 4.2812 4.2812 5.4705 Å, 90.00 90.00 90.00°
Sites, in units of the cell vectors:
Pd: 0.0000 0.0000 0.0000
Pb: 0.5000 0.5000 0.5000
S: 0.5000 0.5000 0.0000
N: 0.0000 0.5000 0.5000
N: 0.5000 0.0000 0.5000



6.
This record from Alexandria describes crystalline Ho3Al2Ni7 at its relaxed geometry. The functional is PBE.

As for the volume: 181 Å³/f.u. The energy comes out at -5.681 eV per atom. For the size of the total moment, the calculation gives 0.00 μB/f.u. As for the crystal system: trigonal.

Cell: 8.4283 8.4283 8.4283 Å, 35.54 35.54 35.54°
Sites, in units of the cell vectors:
Ho: 0.0000 0.0000 0.0000
Ho: 0.1403 0.1403 0.1403
Ho: 0.8597 0.8597 0.8597
Al: 0.3327 0.3327 0.3327
Al: 0.6673 0.6673 0.6673
Ni: 0.0840 0.5812 0.5812
Ni: 0.4188 0.4188 0.9160
Ni: 0.4188 0.9160 0.4188
Ni: 0.5000 0.5000 0.5000
Ni: 0.5812 0.0840 0.5812
Ni: 0.5812 0.5812 0.0840
Ni: 0.9160 0.4188 0.4188